(1)
Crystalline NaNiH5 at its relaxed geometry, computed with PBE.

Cell lengths 3.1758, 5.9516, 7.5687 Å; angles 90.00, 90.00, 90.00 degrees
Sites, in units of the cell vectors:
Na (0.0000, 0.0000, 0.0000)
Na (0.5000, 0.5000, 0.5000)
Ni (0.0000, 0.0000, 0.5000)
Ni (0.5000, 0.5000, 0.0000)
H (0.0000, 0.0000, 0.3014)
H (0.0000, 0.0000, 0.6986)
H (0.0000, 0.2513, 0.5000)
H (0.0000, 0.5000, 0.0000)
H (0.0000, 0.7487, 0.5000)
H (0.5000, 0.0000, 0.5000)
H (0.5000, 0.2487, 0.0000)
H (0.5000, 0.5000, 0.1986)
H (0.5000, 0.5000, 0.8014)
H (0.5000, 0.7513, 0.0000)

* symmetry: No. 71
* total moment: 0.02 μB per atom
* final energy: -3.2371 eV/atom



(2)
Crystalline Na5Ni3H12 at its relaxed geometry, computed with PBE.

Cell lengths 10.6447, 10.6447, 10.6447 Å; angles 109.47, 109.47, 109.47 degrees
Sites, in units of the cell vectors:
Na (0.0000, 0.0000, 0.0000)
Na (0.0000, 0.0000, 0.5000)
Na (0.0000, 0.5000, 0.0000)
Na (0.0000, 0.5000, 0.5000)
Na (0.1250, 0.7500, 0.8750)
Na (0.1250, 0.8750, 0.2500)
Na (0.2500, 0.1250, 0.8750)
Na (0.2500, 0.6250, 0.3750)
Na (0.3750, 0.2500, 0.6250)
Na (0.3750, 0.6250, 0.7500)
Na (0.5000, 0.0000, 0.0000)
Na (0.5000, 0.0000, 0.5000)
Na (0.5000, 0.5000, 0.0000)
Na (0.5000, 0.5000, 0.5000)
Na (0.6250, 0.3750, 0.2500)
Na (0.6250, 0.7500, 0.3750)
Na (0.7500, 0.3750, 0.6250)
Na (0.7500, 0.8750, 0.1250)
Na (0.8750, 0.1250, 0.7500)
Na (0.8750, 0.2500, 0.1250)
Ni (0.1250, 0.2500, 0.3750)
Ni (0.1250, 0.3750, 0.7500)
Ni (0.2500, 0.3750, 0.1250)
Ni (0.2500, 0.8750, 0.6250)
Ni (0.3750, 0.1250, 0.2500)
Ni (0.3750, 0.7500, 0.1250)
Ni (0.6250, 0.2500, 0.8750)
Ni (0.6250, 0.8750, 0.7500)
Ni (0.7500, 0.1250, 0.3750)
Ni (0.7500, 0.6250, 0.8750)
Ni (0.8750, 0.6250, 0.2500)
Ni (0.8750, 0.7500, 0.6250)
H (0.0112, 0.7206, 0.6422)
H (0.0112, 0.7906, 0.3690)
H (0.0784, 0.2206, 0.2094)
H (0.0784, 0.3578, 0.8690)
H (0.1310, 0.7094, 0.4888)
H (0.1310, 0.9216, 0.6422)
H (0.1422, 0.2206, 0.5112)
H (0.1422, 0.4216, 0.6310)
H (0.2094, 0.0784, 0.2206)
H (0.2094, 0.6310, 0.9888)
H (0.2206, 0.2094, 0.0784)
H (0.2206, 0.5112, 0.1422)
H (0.2794, 0.3578, 0.9888)
H (0.2794, 0.4216, 0.2906)
H (0.2906, 0.2794, 0.4216)
H (0.2906, 0.5112, 0.8690)
H (0.3578, 0.8690, 0.0784)
H (0.3578, 0.9888, 0.2794)
H (0.3690, 0.0112, 0.7906)
H (0.3690, 0.8578, 0.5784)
H (0.4216, 0.2906, 0.2794)
H (0.4216, 0.6310, 0.1422)
H (0.4888, 0.1310, 0.7094)
H (0.4888, 0.8578, 0.7794)
H (0.5112, 0.1422, 0.2206)
H (0.5112, 0.8690, 0.2906)
H (0.5784, 0.3690, 0.8578)
H (0.5784, 0.7094, 0.7206)
H (0.6310, 0.1422, 0.4216)
H (0.6310, 0.9888, 0.2094)
H (0.6422, 0.0112, 0.7206)
H (0.6422, 0.1310, 0.9216)
H (0.7094, 0.4888, 0.1310)
H (0.7094, 0.7206, 0.5784)
H (0.7206, 0.5784, 0.7094)
H (0.7206, 0.6422, 0.0112)
H (0.7794, 0.4888, 0.8578)
H (0.7794, 0.7906, 0.9216)
H (0.7906, 0.3690, 0.0112)
H (0.7906, 0.9216, 0.7794)
H (0.8578, 0.5784, 0.3690)
H (0.8578, 0.7794, 0.4888)
H (0.8690, 0.0784, 0.3578)
H (0.8690, 0.2906, 0.5112)
H (0.9216, 0.6422, 0.1310)
H (0.9216, 0.7794, 0.7906)
H (0.9888, 0.2094, 0.6310)
H (0.9888, 0.2794, 0.3578)

* symmetry: No. 230
* total moment: 0.00 μB per atom
* final energy: -3.0351 eV/atom



(3)
Crystalline NaNi2H7 at its relaxed geometry, computed with PBE.

Cell lengths 5.0268, 5.0268, 3.3154 Å; angles 90.00, 90.00, 122.55 degrees
Sites, in units of the cell vectors:
Na (0.0000, 0.0000, 0.0000)
Ni (0.3120, 0.6880, 0.5000)
Ni (0.6880, 0.3120, 0.5000)
H (0.0246, 0.3322, 0.5000)
H (0.3277, 0.6723, 0.0000)
H (0.3322, 0.0246, 0.5000)
H (0.5000, 0.5000, 0.5000)
H (0.6678, 0.9754, 0.5000)
H (0.6723, 0.3277, 0.0000)
H (0.9754, 0.6678, 0.5000)

* symmetry: No. 65
* total moment: 0.00 μB per atom
* final energy: -3.6661 eV/atom



(4)
Crystalline NaNi2H2 at its relaxed geometry, computed with PBE.

Cell lengths 3.4049, 3.4049, 10.0367 Å; angles 90.00, 90.00, 90.00 degrees
Sites, in units of the cell vectors:
Na (0.0000, 0.0000, 0.0000)
Na (0.5000, 0.5000, 0.5000)
Ni (0.0000, 0.0000, 0.2740)
Ni (0.0000, 0.0000, 0.7260)
Ni (0.5000, 0.5000, 0.2260)
Ni (0.5000, 0.5000, 0.7740)
H (0.0000, 0.5000, 0.2500)
H (0.0000, 0.5000, 0.7500)
H (0.5000, 0.0000, 0.2500)
H (0.5000, 0.0000, 0.7500)

* symmetry: No. 139
* energy relative to the lowest polymorph listed for this composition: 0 meV/atom
* total moment: 0.00 μB per atom
* final energy: -3.9075 eV/atom